[1]
An optimized crystal structure of Pm2SmRh2, computed with PBE-GGA. Values from VASP.

Summary:
Energy of formation, kJ/mol of formula units: -248.1
Calculated density, Mg/m³: 8.24

Structure (Quantum ESPRESSO input):
```
&SYSTEM
  ibrav = 0, nat = 10, ntyp = 3
/
ATOMIC_SPECIES
Pm 145.00 Pm.upf
Rh 102.91 Rh.upf
Sm 150.36 Sm.upf
ATOMIC_POSITIONS crystal
Pm 0.810 0.026 0.620
Pm 0.190 0.526 0.380
Pm 0.968 0.750 0.936
Rh 0.553 0.553 0.105
Rh 0.192 0.124 0.385
Rh 0.447 0.053 0.895
Pm 0.032 0.250 0.064
Sm 0.379 0.414 0.757
Sm 0.621 0.914 0.243
Rh 0.808 0.624 0.615
CELL_PARAMETERS angstrom
-3.899 -0.048 0.801
0.364 -7.365 1.333
3.658 1.630 8.004
```

=====

[2]
An optimized crystal structure of NaTiRuS2, computed with PBE-GGA. Values from VASP.

Summary:
Calculated density, Mg/m³: 3.69
Total DFT energy (no corrections), eV per atom: -5.40

Structure (Quantum ESPRESSO input):
```
&SYSTEM
  ibrav = 0, nat = 5, ntyp = 4
/
ATOMIC_SPECIES
S 32.06 S.upf
Ti 47.87 Ti.upf
Ru 101.07 Ru.upf
Na 22.99 Na.upf
ATOMIC_POSITIONS crystal
S 0.500 0.000 0.000
Ti 0.000 0.000 0.000
Ru 0.000 0.500 0.000
Na 0.500 0.500 0.500
S 0.000 0.000 0.500
CELL_PARAMETERS angstrom
4.848 0.000 0.000
0.000 4.517 0.000
0.000 0.000 4.848
```

=====

[3]
An optimized crystal structure of La3Pm3Dy2, computed with PBE-GGA. Values from VASP.

Summary:
Energy of formation, kJ/mol of formula units: 17.3
Calculated density, Mg/m³: 7.04

Structure (Quantum ESPRESSO input):
```
&SYSTEM
  ibrav = 0, nat = 8, ntyp = 3
/
ATOMIC_SPECIES
La 138.91 La.upf
Pm 145.00 Pm.upf
Dy 162.50 Dy.upf
ATOMIC_POSITIONS crystal
La 0.373 0.373 0.747
La 0.627 0.627 0.253
Pm 0.128 0.128 0.257
Pm 0.872 0.872 0.743
La 0.500 0.000 0.000
Dy 0.749 0.249 0.498
Dy 0.251 0.751 0.502
Pm 0.000 0.500 0.000
CELL_PARAMETERS angstrom
-3.020 -2.917 3.019
3.241 -4.007 -0.629
5.250 6.496 7.099
```

=====

[4]
An optimized crystal structure of BiBAu2, computed with PBE-GGA. Values from VASP.

Summary:
Energy of formation, kJ/mol of formula units: 371.2
Calculated density, Mg/m³: 12.96

Structure (Quantum ESPRESSO input):
```
&SYSTEM
  ibrav = 0, nat = 4, ntyp = 3
/
ATOMIC_SPECIES
B 10.81 B.upf
Au 196.97 Au.upf
Bi 208.98 Bi.upf
ATOMIC_POSITIONS crystal
B 0.000 0.000 0.000
Au 0.250 0.250 0.250
Au 0.750 0.750 0.750
Bi 0.500 0.500 0.500
CELL_PARAMETERS angstrom
0.000 3.401 3.401
3.401 0.000 3.401
3.401 3.401 0.000
```

=====

[5]
An optimized crystal structure of MnOs3Se, computed with PBE-GGA. Values from VASP.

Summary:
Calculated density, Mg/m³: 12.97
Total DFT energy (no corrections), eV per atom: -7.10

Structure (Quantum ESPRESSO input):
```
&SYSTEM
  ibrav = 0, nat = 5, ntyp = 3
/
ATOMIC_SPECIES
Mn 54.94 Mn.upf
Os 190.23 Os.upf
Se 78.96 Se.upf
ATOMIC_POSITIONS crystal
Mn 0.500 0.500 0.500
Os 0.500 0.000 0.000
Os 0.000 0.500 0.000
Se 0.000 0.000 0.000
Os 0.000 0.000 0.500
CELL_PARAMETERS angstrom
4.485 0.000 0.000
0.000 4.485 0.000
0.000 0.000 4.485
```

=====

[6]
An optimized crystal structure of TcPN2, computed with PBE-GGA. Values from VASP.

Summary:
Calculated density, Mg/m³: 6.40
Total DFT energy (no corrections), eV per atom: -7.82

Structure (Quantum ESPRESSO input):
```
&SYSTEM
  ibrav = 0, nat = 8, ntyp = 3
/
ATOMIC_SPECIES
N 14.01 N.upf
P 30.97 P.upf
Tc 98.00 Tc.upf
ATOMIC_POSITIONS crystal
N 0.375 0.457 0.750
P 0.500 0.500 0.000
P 0.250 0.750 0.500
N 0.207 0.625 0.250
Tc 0.000 0.000 0.000
N 0.875 0.793 0.750
N 0.543 0.125 0.250
Tc 0.750 0.250 0.500
CELL_PARAMETERS angstrom
-0.445 4.441 -0.561
-4.164 -0.204 1.691
-0.833 2.733 4.261
```

=====

[7]
An optimized crystal structure of BaNbSe4, computed with PBE-GGA. Values from VASP.

Summary:
Calculated density, Mg/m³: 5.54
Total DFT energy (no corrections), eV per atom: -5.33

Structure (Quantum ESPRESSO input):
```
&SYSTEM
  ibrav = 0, nat = 12, ntyp = 3
/
ATOMIC_SPECIES
Nb 92.91 Nb.upf
Ba 137.33 Ba.upf
Se 78.96 Se.upf
ATOMIC_POSITIONS crystal
Nb 0.711 0.468 0.936
Ba 0.753 0.798 0.596
Se 0.000 0.772 0.000
Se 0.647 0.827 0.202
Se 0.230 0.700 0.399
Nb 0.289 0.532 0.064
Se 0.353 0.625 0.798
Se 0.770 0.300 0.601
Ba 0.247 0.202 0.404
Se 0.647 0.375 0.202
Se 0.000 0.228 0.000
Se 0.353 0.173 0.798
CELL_PARAMETERS angstrom
-2.330 5.265 -0.842
-6.334 -3.174 -2.319
0.861 0.936 8.351
```

=====

[8]
An optimized crystal structure of Zn2TcSe, computed with PBE-GGA. Values from VASP.

Summary:
Calculated density, Mg/m³: 8.21
Total DFT energy (no corrections), eV per atom: -3.82

Structure (Quantum ESPRESSO input):
```
&SYSTEM
  ibrav = 0, nat = 4, ntyp = 3
/
ATOMIC_SPECIES
Se 78.96 Se.upf
Zn 65.41 Zn.upf
Tc 98.00 Tc.upf
ATOMIC_POSITIONS crystal
Se 0.500 0.000 0.500
Zn 0.500 0.500 0.000
Zn 0.000 0.000 0.000
Tc 0.000 0.500 0.500
CELL_PARAMETERS angstrom
3.306 0.000 0.000
0.000 4.377 0.000
0.000 0.000 4.302
```